DFT (GGA-PBEsol) results for crystalline NiH12SO10 at its relaxed geometry.

Output
VASP energy	-5.373	eV per atom

Cell: 6.6957 6.6957 17.9087 Å, 90.00 90.00 90.00°
With the nearest neighbours (Å) after each atom.
Space group P4_12_12 (No. 92)
Unique sites:
Ni 0.2157 0.2157 0.0000 [4 per cell]  6 O 1.99-2.06
H 0.0027 0.5248 0.5649 [8 per cell]  1 O 1.00
H 0.0106 0.7256 0.6180 [8 per cell]  1 O 1.01
H 0.0384 0.1172 0.6906 [8 per cell]  1 O 1.00
H 0.0774 0.3535 0.7066 [8 per cell]  1 O 0.99
H 0.0774 0.7368 0.4027 [8 per cell]  1 O 1.00
H 0.0794 0.8544 0.0417 [8 per cell]  1 O 0.99
S 0.2086 0.7914 0.7500 [4 per cell]  4 O 1.49
O 0.0231 0.7467 0.1917 [8 per cell]  2 H 0.99-1.00
O 0.0486 0.8107 0.4502 [8 per cell]  2 H 0.99-1.00
O 0.0721 0.3277 0.5058 [8 per cell]  1 S 1.49
O 0.0775 0.3637 0.0868 [8 per cell]  2 H 1.00-1.01
O 0.1088 0.8729 0.6824 [8 per cell]  1 S 1.49, 1 H 1.65